VASP calculation (GGA-PBE) on Na5AcHg6 after structural relaxation.

Summary:
E_form   -0.27 eV/atom
ρ   7.804 Mg/m³
Final energy   -15.80 eV per formula unit

Structure (POSCAR):
```
Na5AcHg6
1.0
-3.405 0.583 4.316
3.731 -5.306 3.659
6.354 5.285 1.184
Na Ac Hg
5 1 6
direct
0.603 0.500 0.323
0.356 0.000 0.652
0.000 0.500 0.000
0.644 0.000 0.348
0.397 0.500 0.677
0.000 0.000 0.000
0.893 0.726 0.660
0.893 0.274 0.660
0.500 0.256 0.000
0.500 0.744 0.000
0.107 0.726 0.340
0.107 0.274 0.340
```